# PBE with a Hubbard U TiCrPdO6, optimized geometry
data_TiCrPdO6
_cell_length_a 4.585
_cell_length_b 4.585
_cell_length_c 9.097
_cell_angle_alpha 90.00
_cell_angle_beta 90.00
_cell_angle_gamma 90.00
_space_group_name_H-M_alt 'P 42 n m'
_space_group_IT_number 102
loop_
_space_group_symop_operation_xyz
'x,y,z'
'-y+1/2,x+1/2,z+1/2'
'-x,-y,z'
'y+1/2,-x+1/2,z+1/2'
'-x+1/2,y+1/2,z+1/2'
'y,x,z'
'x+1/2,-y+1/2,z+1/2'
'-y,-x,z'
loop_
_atom_site_label
_atom_site_type_symbol
_atom_site_fract_x
_atom_site_fract_y
_atom_site_fract_z
Ti1 Ti 0.000 0.000 0.000
Cr1 Cr 0.000 0.000 0.670
Pd1 Pd 0.000 0.000 0.335
O1 O 0.191 0.191 0.837
O2 O 0.195 0.195 0.509
O3 O 0.202 0.202 0.164
# electronic total energy = -129.543 eV per cell
# DOS(E_F) = 0.07 states/eV/cell